Entry 1:
DFT (PBE-GGA) results for a geometry-optimized Pr3Dy4Tm2 structure.

It has space group C2/c (No. 15), with a = 16.332 Å, b = 11.739 Å, c = 6.169 Å, α = 90.00°, β = 97.20° and γ = 90.00°. The distinct sites, in fractional coordinates, are Pr at (0.000, 0.142, 0.250), Pr at (0.168, 0.361, 0.081), Dy at (0.060, 0.379, 0.539), Dy at (0.223, 0.121, 0.375) and Tm at (0.106, 0.118, 0.798).

As for the formation enthalpy at 0 K: 0.101 eV per atom. Its energy above the most stable polymorph in this dataset is 77 meV per atom.

Entry 2:
DFT (PBE-GGA) results for a geometry-optimized Pr6Dy7Tm16 structure.

It has space group Fm-3m (No. 225), with a = 15.733 Å, b = 15.733 Å, c = 15.733 Å, α = 90.00°, β = 90.00° and γ = 90.00°. The distinct sites, in fractional coordinates, are Pr at (0.000, 0.000, 0.232), Dy at (0.000, 0.000, 0.500), Dy at (0.000, 0.250, 0.250), Tm at (0.128, 0.128, 0.372) and Tm at (0.150, 0.150, 0.150).

As for the formation enthalpy at 0 K: 0.241 eV per atom.

Entry 3:
DFT (PBE-GGA) results for a geometry-optimized Pr2Dy4Tm structure.

It has space group I4/mmm (No. 139), with a = 5.518 Å, b = 5.518 Å, c = 17.325 Å, α = 90.00°, β = 90.00° and γ = 90.00°. The distinct sites, in fractional coordinates, are Pr at (0.000, 0.000, 0.125), Dy at (0.000, 0.000, 0.325), Dy at (0.000, 0.500, 0.000) and Tm at (0.000, 0.000, 0.500).

As for the formation enthalpy at 0 K: 0.650 eV per atom. Its energy above the most stable polymorph in this dataset is 542 meV per atom.

Entry 4:
DFT (PBE-GGA) results for a geometry-optimized Pr7Dy4Tm structure.

It has space group P-1 (No. 2), with a = 6.299 Å, b = 7.268 Å, c = 9.621 Å, α = 100.80°, β = 108.80° and γ = 90.04°. The distinct sites, in fractional coordinates, are Pr at (0.000, 0.000, 0.000), Pr at (0.002, 0.336, 0.334), Pr at (0.496, 0.916, 0.664), Pr at (0.498, 0.253, 0.999), Dy at (0.001, 0.169, 0.667), Dy at (0.497, 0.583, 0.333) and Tm at (0.000, 0.500, 0.000).

As for the formation enthalpy at 0 K: 0.020 eV per atom. Its energy above the most stable polymorph in this dataset is 0 meV per atom.

Which value of formation enthalpy at 0 K does entry 4 give? 0.020 eV per atom

What is the formula in the third record? Pr2Dy4Tm